Al2OsAu2: relaxed, GGA-PBE.

Cell lengths 6.440, 6.440, 6.440 Å; angles 145.36, 145.36, 49.80 degrees
Atoms (fractional coordinates):
Al (0.250, 0.750, 0.500)
Al (0.750, 0.250, 0.500)
Os (0.000, 0.000, 0.000)
Au (0.388, 0.388, 0.000)
Au (0.612, 0.612, 0.000)

Computed properties:
The space-group type is I4/mmm. The calculation puts the offset from the most stable computed form at 0.312 eV per atom.

***

Pm2P4Pd3Pt: relaxed, GGA-PBE.

Cell lengths 4.308, 4.308, 9.498 Å; angles 90.00, 90.00, 90.00 degrees
Atoms (fractional coordinates):
Pm (0.000, 0.500, 0.243)
Pm (0.500, 0.000, 0.757)
P (0.000, 0.000, 0.000)
P (0.000, 0.500, 0.631)
P (0.500, 0.000, 0.369)
P (0.500, 0.500, 0.000)
Pd (0.000, 0.500, 0.883)
Pd (0.500, 0.000, 0.117)
Pd (0.500, 0.500, 0.500)
Pt (0.000, 0.000, 0.500)

Computed properties:
The space-group type is P-4m2.

***

PmCrP2Rh5: relaxed, GGA-PBE.

Cell lengths 4.074, 4.074, 9.674 Å; angles 90.00, 90.00, 90.00 degrees
Atoms (fractional coordinates):
Pm (0.000, 0.000, 0.000)
Cr (0.500, 0.500, 0.500)
P (0.500, 0.500, 0.231)
P (0.500, 0.500, 0.769)
Rh (0.000, 0.500, 0.343)
Rh (0.000, 0.500, 0.657)
Rh (0.500, 0.000, 0.343)
Rh (0.500, 0.000, 0.657)
Rh (0.500, 0.500, 0.000)

Computed properties:
The space-group type is P4/mmm.

***

Number 1: formation energy from the elements 0.42 eV/atom, volume 17.18 A^3/atom, magnetization 1.2 μB per formula unit. Number 2: formation energy from the elements -0.93 eV/atom, volume 17.63 A^3/atom, magnetization 0.0 μB per formula unit. Number 3: formation energy from the elements -0.32 eV/atom, volume 17.84 A^3/atom, magnetization 2.1 μB per formula unit.